Compound: YFe2P
Source: Alexandria via LeMat-Bulk
Functional: GGA-PBE
Structure: relaxed

Cell and atoms, written as extended XYZ:
```
4
Lattice="3.874 0.000 0.000 0.000 3.882 0.000 0.000 0.000 4.280" Properties=species:S:1:pos:R:3 pbc="T T T"
Fe 0.000 0.000 0.000
Fe 1.937 1.941 0.000
P 1.937 0.000 2.140
Y 0.000 1.941 2.140
```

Properties
- Total DFT energy (no corrections): -7.30 eV per atom
- Energy of formation: -0.099 eV/atom